No. 1
A relaxed structure of TaBeCu2. Source: Alexandria via LeMat-Bulk, functional PBEsol.

a b c (Å): 3.6146 3.6146 3.8456
angles (deg): 90.00 90.00 90.00
With the nearest neighbours (Å) after each atom.
Element x y z (fractional)
Be: 0.0000 0.0000 0.5000  4 Ta 2.56, 8 Cu 2.64
Cu: 0.0000 0.5000 0.0000  4 Cu 2.56, 4 Ta 2.64, 4 Be 2.64
Cu: 0.5000 0.0000 0.0000  4 Cu 2.56, 4 Ta 2.64, 4 Be 2.64
Ta: 0.5000 0.5000 0.5000  4 Be 2.56, 8 Cu 2.64

Output
Energy of formation from the pure elements = 0.2488 eV/atom



No. 2
A relaxed structure of HfAl2TcBi. Source: Alexandria via LeMat-Bulk, functional PBEsol.

a b c (Å): 5.0996 5.0996 5.3594
angles (deg): 90.00 90.00 90.00
With the nearest neighbours (Å) after each atom.
Element x y z (fractional)
Al: 0.0000 0.5000 0.0000  2 Bi 2.55
Al: 0.5000 0.0000 0.0000  2 Bi 2.55
Hf: 0.0000 0.0000 0.5000  2 Bi 2.68
Bi: 0.0000 0.0000 0.0000  4 Al 2.55, 2 Hf 2.68
Tc: 0.5000 0.5000 0.5000  4 Hf 3.61, 8 Al 3.70

Output
Energy of formation from the pure elements = 1.9999 eV/atom



No. 3
A relaxed structure of Ti3PtC. Source: Alexandria via LeMat-Bulk, functional PBEsol.

a b c (Å): 4.1039 4.1039 4.1039
angles (deg): 90.00 90.00 90.00
With the nearest neighbours (Å) after each atom.
Element x y z (fractional)
C: 0.0000 0.0000 0.0000  6 Ti 2.05
Pt: 0.5000 0.5000 0.5000  12 Ti 2.90
Ti: 0.0000 0.5000 0.0000  2 C 2.05
Ti: 0.0000 0.0000 0.5000  2 C 2.05
Ti: 0.5000 0.0000 0.0000  2 C 2.05

Output
Energy above the most stable polymorph in this dataset = 71.8 meV/atom
Energy of formation from the pure elements = -0.7726 eV/atom



No. 4
A relaxed structure of ScTeP2O. Source: Alexandria via LeMat-Bulk, functional PBEsol.

a b c (Å): 3.9258 4.9816 4.9816
angles (deg): 90.00 90.00 90.00
With the nearest neighbours (Å) after each atom.
Element x y z (fractional)
Sc: 0.5000 0.5000 0.5000  8 P 3.17, 4 O 3.52
P: 0.0000 0.0000 0.5000  2 Te 2.49
P: 0.0000 0.5000 0.0000  2 Te 2.49
Te: 0.0000 0.0000 0.0000  2 O 1.96
O: 0.5000 0.0000 0.0000  2 Te 1.96

Output
Formation energy (no corrections) = -0.03 eV/atom



No. 5
A relaxed structure of CaCuAu2. Source: Alexandria via LeMat-Bulk, functional PBEsol.

a b c (Å): 4.0671 4.9552 4.6283
angles (deg): 117.84 90.00 114.23
With the nearest neighbours (Å) after each atom.
Element x y z (fractional)
Au: 0.7248 0.4496 0.7248  2 Cu 2.68, 4 Ca 2.90-2.95
Au: 0.2752 0.5504 0.2752  2 Cu 2.68, 4 Ca 2.90-2.95
Ca: 0.5000 0.0000 0.0000  8 Au 2.90-2.95, 4 Cu 3.08
Cu: 0.0000 0.0000 0.5000  4 Au 2.68

Output
Energy above the most stable polymorph in this dataset = 82.7 meV/atom
Energy of formation from the pure elements = -0.3245 eV/atom



No. 6
A relaxed structure of ScIn2Au. Source: Alexandria via LeMat-Bulk, functional PBEsol.

a b c (Å): 4.8672 4.8672 4.8672
angles (deg): 60.00 60.00 60.00
With the nearest neighbours (Å) after each atom.
Element x y z (fractional)
Au: 0.5000 0.5000 0.5000  4 In 2.98, 4 Sc 2.98
In: 0.0000 0.0000 0.0000  4 In 2.98, 4 Sc 2.98
In: 0.2500 0.2500 0.2500  4 In 2.98, 4 Au 2.98
Sc: 0.7500 0.7500 0.7500  4 In 2.98, 4 Au 2.98

Output
Energy of formation from the pure elements = -0.3671 eV/atom



No. 7
A relaxed structure of Y2Be2FeSi2O10. Source: Alexandria via LeMat-Bulk, functional PBEsol.

a b c (Å): 4.7370 7.4735 9.8935
angles (deg): 90.00 90.76 90.00
With the nearest neighbours (Å) after each atom.
Element x y z (fractional)
Y: 0.9986 0.6094 0.8284  7 O 2.30-2.47
Y: 0.0014 0.1094 0.6716  7 O 2.30-2.47
Y: 0.0014 0.3906 0.1716  7 O 2.30-2.47
Y: 0.9986 0.8906 0.3284  7 O 2.30-2.47
Be: 0.4635 0.9156 0.8353  4 O 1.60-1.64
Be: 0.5365 0.4156 0.6647  4 O 1.60-1.64
Be: 0.5365 0.0844 0.1647  4 O 1.60-1.64
Be: 0.4635 0.5844 0.3353  4 O 1.60-1.64
Fe: 0.0000 0.0000 0.0000  4 O 1.98-2.22
Fe: 0.0000 0.5000 0.5000  4 O 1.98-2.22
Si: 0.5167 0.7830 0.5773  4 O 1.62-1.65
Si: 0.4833 0.2830 0.9227  4 O 1.62-1.65
Si: 0.4833 0.2170 0.4227  4 O 1.62-1.65
Si: 0.5167 0.7170 0.0773  4 O 1.62-1.65
O: 0.6873 0.6097 0.6427  1 Be 1.63, 1 Si 1.65
O: 0.3127 0.1097 0.8573  1 Be 1.63, 1 Si 1.65
O: 0.3127 0.3903 0.3573  1 Be 1.63, 1 Si 1.65
O: 0.6873 0.8903 0.1427  1 Be 1.63, 1 Si 1.65
O: 0.1994 0.4146 0.6655  1 Be 1.60
O: 0.8006 0.9146 0.8345  1 Be 1.60
O: 0.8006 0.5854 0.3345  1 Be 1.60
O: 0.6788 0.2124 0.0504  1 Be 1.63, 1 Si 1.64
O: 0.7609 0.5805 0.0284  1 Si 1.62
O: 0.2391 0.0805 0.4716  1 Si 1.62
O: 0.3032 0.8499 0.6960  1 Si 1.64, 1 Be 1.64
O: 0.7609 0.9195 0.5284  1 Si 1.62
O: 0.3212 0.7124 0.4496  1 Be 1.63, 1 Si 1.64
O: 0.2391 0.4195 0.9716  1 Si 1.62
O: 0.6788 0.2876 0.5504  1 Be 1.63, 1 Si 1.64
O: 0.3212 0.7876 0.9496  1 Be 1.63, 1 Si 1.64
O: 0.3032 0.6501 0.1960  1 Si 1.64, 1 Be 1.64
O: 0.6968 0.1501 0.3040  1 Si 1.64, 1 Be 1.64
O: 0.6968 0.3499 0.8040  1 Si 1.64, 1 Be 1.64
O: 0.1994 0.0854 0.1655  1 Be 1.60

Output
Formation energy (no corrections) = -2.88 eV/atom



No. 8
A relaxed structure of LiFe2Pb. Source: Alexandria via LeMat-Bulk, functional PBEsol.

a b c (Å): 3.3188 3.3188 5.4417
angles (deg): 90.00 90.00 90.00
With the nearest neighbours (Å) after each atom.
Element x y z (fractional)
Fe: 0.0000 0.0000 0.7901  1 Fe 2.28
Fe: 0.0000 0.0000 0.2099  1 Fe 2.28
Li: 0.5000 0.5000 0.0000  8 Fe 2.61, 2 Pb 2.72
Pb: 0.5000 0.5000 0.5000  2 Li 2.72, 8 Fe 2.83

Output
Energy of formation from the pure elements = 0.5268 eV/atom